Entry 1:
{"formula": "Sc2Be12CuNi3", "functional": "PBE", "state": "optimized geometry", "sg": "No. 166", "e_form_mev_per_atom": 444, "lattice": [[6.8259, -0.1155, -0.0819], [3.2706, 5.9925, -0.0819], [3.2706, 1.9037, 5.6826]], "species": ["Sc", "Sc", "Be", "Be", "Be", "Be", "Be", "Be", "Be", "Be", "Be", "Be", "Be", "Be", "Cu", "Ni", "Ni", "Ni"], "frac_coords": [[0.5959, 0.5959, 0.5959], [0.4041, 0.4041, 0.4041], [0.3467, 0.3467, 0.0393], [0.8740, 0.8740, 0.3546], [0.3546, 0.8740, 0.8740], [0.0393, 0.3467, 0.3467], [0.8740, 0.3546, 0.8740], [0.3467, 0.0393, 0.3467], [0.6533, 0.6533, 0.9607], [0.1260, 0.1260, 0.6454], [0.6454, 0.1260, 0.1260], [0.9607, 0.6533, 0.6533], [0.1260, 0.6454, 0.1260], [0.6533, 0.9607, 0.6533], [0.0000, 0.0000, 0.0000], [0.5000, 0.0000, 0.0000], [0.0000, 0.5000, 0.0000], [0.0000, 0.0000, 0.5000]]}

---

Entry 2:
{"formula": "ScBeCuNi", "functional": "PBE", "state": "optimized geometry", "sg": "No. 216", "e_form_mev_per_atom": -189, "lattice": [[4.2002, 0.0000, 0.0000], [2.1001, 3.6375, 0.0000], [2.1001, 1.2125, 3.4295]], "species": ["Sc", "Ni", "Cu", "Be"], "frac_coords": [[0.0000, 0.0000, 0.0000], [0.7500, 0.7500, 0.7500], [0.2500, 0.2500, 0.2500], [0.5000, 0.5000, 0.5000]]}

---

Entry 3:
{"formula": "BeCuSi2Ni", "functional": "PBE", "state": "optimized geometry", "sg": "No. 123", "raw_formation_energy_ev_per_atom": 0.664, "lattice": [[-0.4179, -2.9713, -2.8197], [-1.3624, -2.4933, 2.8293], [-3.8500, 1.2530, -0.7497]], "species": ["Ni", "Si", "Si", "Cu", "Be"], "frac_coords": [[0.5000, 0.5000, 0.5000], [0.0000, 0.0000, 0.5000], [0.5000, 0.0000, 0.0000], [0.0000, 0.5000, 0.0000], [0.0000, 0.0000, 0.0000]]}

---

Entry 4:
{"formula": "BeCuSiNi", "functional": "PBE", "state": "optimized geometry", "sg": "No. 216", "raw_formation_energy_ev_per_atom": -0.263, "lattice": [[-3.4089, 0.6825, -1.7843], [-3.3409, -1.1671, 1.6572], [-2.4795, 2.6397, 1.4677]], "species": ["Ni", "Si", "Cu", "Be"], "frac_coords": [[0.0000, 0.0000, 0.0000], [0.7500, 0.7500, 0.7500], [0.5000, 0.5000, 0.5000], [0.2500, 0.2500, 0.2500]]}

---

Entry 5:
{"formula": "Be2Cu2SiNi5", "functional": "PBE", "state": "optimized geometry", "sg": "No. 127", "raw_formation_energy_ev_per_atom": -0.230, "lattice": [[3.1650, 0.0000, 0.0000], [0.0000, 8.1849, 0.0000], [0.0000, 0.0000, 8.1849]], "species": ["Be", "Be", "Be", "Be", "Cu", "Cu", "Cu", "Cu", "Si", "Si", "Ni", "Ni", "Ni", "Ni", "Ni", "Ni", "Ni", "Ni", "Ni", "Ni"], "frac_coords": [[0.0000, 0.1232, 0.6232], [0.0000, 0.8768, 0.3768], [0.0000, 0.6232, 0.8768], [0.0000, 0.3768, 0.1232], [0.0000, 0.6724, 0.1724], [0.0000, 0.3276, 0.8276], [0.0000, 0.1724, 0.3276], [0.0000, 0.8276, 0.6724], [0.0000, 0.0000, 0.0000], [0.0000, 0.5000, 0.5000], [0.5000, 0.2027, 0.0705], [0.5000, 0.7973, 0.9295], [0.5000, 0.0705, 0.7973], [0.5000, 0.7027, 0.4295], [0.5000, 0.9295, 0.2027], [0.5000, 0.2973, 0.5705], [0.5000, 0.5705, 0.7027], [0.5000, 0.4295, 0.2973], [0.5000, 0.5000, 0.0000], [0.5000, 0.0000, 0.5000]]}

---

Entry 6:
{"formula": "Sm2Be3CuNi12", "functional": "PBE", "state": "optimized geometry", "sg": "No. 166", "e_form_mev_per_atom": 267, "lattice": [[6.8264, -0.3289, -0.2333], [3.0853, 6.0982, -0.2333], [3.0853, 1.7959, 5.8325]], "species": ["Sm", "Sm", "Be", "Be", "Be", "Cu", "Ni", "Ni", "Ni", "Ni", "Ni", "Ni", "Ni", "Ni", "Ni", "Ni", "Ni", "Ni"], "frac_coords": [[0.6084, 0.6084, 0.6084], [0.3916, 0.3916, 0.3916], [0.5000, 0.0000, 0.0000], [0.0000, 0.5000, 0.0000], [0.0000, 0.0000, 0.5000], [0.0000, 0.0000, 0.0000], [0.3440, 0.3440, 0.9097], [0.8679, 0.8679, 0.3815], [0.3815, 0.8679, 0.8679], [0.9097, 0.3440, 0.3440], [0.8679, 0.3815, 0.8679], [0.3440, 0.9097, 0.3440], [0.6560, 0.6560, 0.0903], [0.1321, 0.1321, 0.6185], [0.6185, 0.1321, 0.1321], [0.0903, 0.6560, 0.6560], [0.1321, 0.6185, 0.1321], [0.6560, 0.0903, 0.6560]]}

---

no.,Fermi-level density of states (states/eV/f.u.),total moment (μB/atom)
1,9.6,0.00
2,3.0,0.00
3,1.9,0.00
4,1.0,0.00
5,2.9,0.00
6,10.4,0.00